Entry from the Alexandria database: an optimized crystal structure of DyErSbO2 (GGA-PBE). Values from VASP.

Quantum ESPRESSO input file:
```
&SYSTEM
  ibrav = 0, nat = 10, ntyp = 4
/
ATOMIC_SPECIES
Dy 162.50 Dy.upf
Er 167.26 Er.upf
Sb 121.76 Sb.upf
O 16.00 O.upf
CELL_PARAMETERS angstrom
3.839 0.000 0.000
0.000 3.839 0.000
0.000 0.000 13.302
ATOMIC_POSITIONS angstrom
Dy 0.000 0.000 0.000
Dy 1.919 1.919 6.651
Er 0.000 0.000 4.423
Er 1.919 1.919 11.074
Sb 0.000 0.000 8.867
Sb 1.919 1.919 2.216
O 0.000 1.919 5.516
O 0.000 1.919 12.167
O 1.919 0.000 5.516
O 1.919 0.000 12.167
```

Summary:
Its energy is -7.368 eV per atom. The calculation puts the volume at 196.01 Å³/cell. The uncorrected formation energy comes out at -2.73 eV per atom.

Entry from the Alexandria database: an optimized crystal structure of DyErSeO2 (GGA-PBE). Values from VASP.

Quantum ESPRESSO input file:
```
&SYSTEM
  ibrav = 0, nat = 10, ntyp = 4
/
ATOMIC_SPECIES
Dy 162.50 Dy.upf
Er 167.26 Er.upf
Se 78.96 Se.upf
O 16.00 O.upf
CELL_PARAMETERS angstrom
6.444 0.000 0.000
0.000 3.994 0.000
-2.220 0.000 7.217
ATOMIC_POSITIONS angstrom
Dy 0.226 0.999 3.063
Dy 3.998 2.996 4.154
Er -0.902 0.999 6.611
Er 5.126 2.996 0.606
Se 1.283 2.996 5.350
Se 2.942 0.999 1.867
O -1.880 2.996 6.362
O -0.705 2.996 2.716
O 4.929 0.999 4.501
O 6.104 0.999 0.856
```

Summary:
Its energy is -7.643 eV per atom. The calculation puts the volume at 185.77 Å³/cell. The uncorrected formation energy comes out at -3.13 eV per atom.

Entry from the Alexandria database: an optimized crystal structure of DyErSe2O (GGA-PBE). Values from VASP.

Quantum ESPRESSO input file:
```
&SYSTEM
  ibrav = 0, nat = 10, ntyp = 4
/
ATOMIC_SPECIES
Dy 162.50 Dy.upf
Er 167.26 Er.upf
Se 78.96 Se.upf
O 16.00 O.upf
CELL_PARAMETERS angstrom
3.949 0.000 0.000
0.000 3.949 0.000
0.000 0.000 14.474
ATOMIC_POSITIONS angstrom
Dy 0.987 0.987 1.100
Dy 2.961 2.961 13.374
Er 0.987 0.987 9.091
Er 2.961 2.961 5.383
Se 0.987 0.987 5.965
Se 0.987 0.987 11.699
Se 2.961 2.961 2.775
Se 2.961 2.961 8.509
O 0.987 2.961 0.000
O 2.961 0.987 0.000
```

Summary:
Its energy is -6.632 eV per atom. The calculation puts the volume at 225.67 Å³/cell. The uncorrected formation energy comes out at -2.41 eV per atom.

Entry from the Alexandria database: an optimized crystal structure of Tb2DyErO6 (GGA-PBE). Values from VASP.

Quantum ESPRESSO input file:
```
&SYSTEM
  ibrav = 0, nat = 10, ntyp = 4
/
ATOMIC_SPECIES
Tb 158.93 Tb.upf
Dy 162.50 Dy.upf
Er 167.26 Er.upf
O 16.00 O.upf
CELL_PARAMETERS angstrom
2.909 1.679 5.057
-2.909 1.679 5.057
0.000 -3.359 5.057
ATOMIC_POSITIONS angstrom
Tb 0.000 0.000 0.000
Tb 0.000 0.000 7.575
Dy 0.000 0.000 3.298
Er 0.000 0.000 10.864
O -0.887 -1.900 6.720
O -1.691 0.023 9.257
O -1.202 1.718 6.720
O 0.826 -1.476 9.257
O 2.089 0.181 6.720
O 0.866 1.453 9.257
```

Summary:
Its energy is -8.356 eV per atom. The calculation puts the volume at 148.25 Å³/cell. The uncorrected formation energy comes out at -3.54 eV per atom.

Entry from the Alexandria database: an optimized crystal structure of DyErTe2O (GGA-PBE). Values from VASP.

Quantum ESPRESSO input file:
```
&SYSTEM
  ibrav = 0, nat = 10, ntyp = 4
/
ATOMIC_SPECIES
Dy 162.50 Dy.upf
Er 167.26 Er.upf
Te 127.60 Te.upf
O 16.00 O.upf
CELL_PARAMETERS angstrom
4.108 0.000 0.000
0.000 4.108 0.000
0.000 0.000 15.716
ATOMIC_POSITIONS angstrom
Dy 1.027 1.027 1.025
Dy 3.081 3.081 14.691
Er 1.027 1.027 9.967
Er 3.081 3.081 5.749
Te 1.027 1.027 6.553
Te 1.027 1.027 12.807
Te 3.081 3.081 2.908
Te 3.081 3.081 9.163
O 1.027 3.081 0.000
O 3.081 1.027 0.000
```

Summary:
Its energy is -6.143 eV per atom. The calculation puts the volume at 265.23 Å³/cell. The uncorrected formation energy comes out at -2.06 eV per atom.

Entry from the Alexandria database: an optimized crystal structure of Dy2ErTeO8 (GGA-PBE). Values from VASP.

Quantum ESPRESSO input file:
```
&SYSTEM
  ibrav = 0, nat = 12, ntyp = 4
/
ATOMIC_SPECIES
Dy 162.50 Dy.upf
Er 167.26 Er.upf
Te 127.60 Te.upf
O 16.00 O.upf
CELL_PARAMETERS angstrom
3.530 -3.591 0.000
3.530 3.591 0.000
0.000 0.000 6.830
ATOMIC_POSITIONS angstrom
Dy 0.000 0.000 1.711
Dy 0.000 0.000 5.120
Er 3.530 0.000 0.000
Te 3.530 0.000 3.415
O 1.364 0.000 0.000
O 1.588 0.000 3.415
O 3.530 1.307 1.953
O 3.530 1.307 4.878
O 3.530 -1.307 1.953
O 3.530 -1.307 4.878
O 5.472 0.000 3.415
O 5.696 0.000 0.000
```

Summary:
Its energy is -7.238 eV per atom. The calculation puts the volume at 173.17 Å³/cell. The uncorrected formation energy comes out at -2.52 eV per atom.

Entry from the Alexandria database: an optimized crystal structure of DyEr2TeO8 (GGA-PBE). Values from VASP.

Quantum ESPRESSO input file:
```
&SYSTEM
  ibrav = 0, nat = 12, ntyp = 4
/
ATOMIC_SPECIES
Dy 162.50 Dy.upf
Er 167.26 Er.upf
Te 127.60 Te.upf
O 16.00 O.upf
CELL_PARAMETERS angstrom
3.508 -3.560 0.000
3.508 3.560 0.000
0.000 0.000 6.840
ATOMIC_POSITIONS angstrom
Dy 0.000 0.000 0.000
Er 3.508 0.000 1.728
Er 3.508 0.000 5.112
Te 0.000 0.000 3.420
O 3.508 2.251 1.965
O 3.508 2.251 4.875
O 1.949 0.000 3.420
O 2.183 0.000 0.000
O 4.833 0.000 0.000
O 5.068 0.000 3.420
O 3.508 -2.251 1.965
O 3.508 -2.251 4.875
```

Summary:
Its energy is -7.249 eV per atom. The calculation puts the volume at 170.86 Å³/cell. The uncorrected formation energy comes out at -2.54 eV per atom.

Entry from the Alexandria database: an optimized crystal structure of DyEr2TlO (GGA-PBE). Values from VASP.

Quantum ESPRESSO input file:
```
&SYSTEM
  ibrav = 0, nat = 5, ntyp = 4
/
ATOMIC_SPECIES
Dy 162.50 Dy.upf
Er 167.26 Er.upf
Tl 204.38 Tl.upf
O 16.00 O.upf
CELL_PARAMETERS angstrom
4.730 0.000 0.000
0.000 4.730 0.000
0.000 0.000 4.797
ATOMIC_POSITIONS angstrom
Dy 0.000 0.000 0.000
Er 0.000 2.365 2.399
Er 2.365 0.000 2.399
Tl 2.365 2.365 0.000
O 0.000 0.000 2.399
```

Summary:
Its energy is -5.552 eV per atom. The calculation puts the volume at 107.35 Å³/cell. The uncorrected formation energy comes out at -1.34 eV per atom.

Entry from the Alexandria database: an optimized crystal structure of Dy2ErTmO6 (GGA-PBE). Values from VASP.

Quantum ESPRESSO input file:
```
&SYSTEM
  ibrav = 0, nat = 10, ntyp = 4
/
ATOMIC_SPECIES
Dy 162.50 Dy.upf
Er 167.26 Er.upf
Tm 168.93 Tm.upf
O 16.00 O.upf
CELL_PARAMETERS angstrom
2.885 1.665 5.027
-2.885 1.665 5.027
0.000 -3.331 5.027
ATOMIC_POSITIONS angstrom
Dy 0.000 0.000 0.000
Dy 0.000 0.000 7.534
Er 0.000 0.000 3.265
Tm 0.000 0.000 10.794
O -0.884 -1.886 6.684
O -1.683 0.034 9.203
O -1.191 1.708 6.684
O 0.812 -1.475 9.203
O 2.075 0.178 6.684
O 0.871 1.441 9.203
```

Summary:
Its energy is -8.373 eV per atom. The calculation puts the volume at 144.90 Å³/cell. The uncorrected formation energy comes out at -3.57 eV per atom.

Entry from the Alexandria database: an optimized crystal structure of Dy2ErUO8 (GGA-PBE). Values from VASP.

Quantum ESPRESSO input file:
```
&SYSTEM
  ibrav = 0, nat = 12, ntyp = 4
/
ATOMIC_SPECIES
Dy 162.50 Dy.upf
Er 167.26 Er.upf
U 238.03 U.upf
O 16.00 O.upf
CELL_PARAMETERS angstrom
3.847 0.000 0.000
0.000 5.317 0.000
0.000 0.000 7.516
ATOMIC_POSITIONS angstrom
Dy 0.000 0.000 1.868
Dy 0.000 0.000 5.647
Er 1.924 2.658 0.000
U 1.924 2.658 3.758
O 0.000 1.340 0.000
O 0.000 1.422 3.758
O 0.000 3.895 3.758
O 0.000 3.976 0.000
O 1.924 1.380 2.027
O 1.924 1.380 5.489
O 1.924 3.937 2.027
O 1.924 3.937 5.489
```

Summary:
Its energy is -8.683 eV per atom. The calculation puts the volume at 153.72 Å³/cell. The uncorrected formation energy comes out at -3.29 eV per atom.